No. 1
A relaxed Mg2Si3Pd5 crystal. Source: Alexandria, functional GGA-PBE.

```
Mg2Si3Pd5
1.0
2.0125 -11.6962 0.0000
2.0125 11.6962 0.0000
0.0000 0.0000 6.5841
Mg Si Pd
4 6 10
direct
0.0208 0.9792 0.5000
0.3192 0.6808 0.3747
0.6808 0.3192 0.8747
0.9792 0.0208 0.0000
0.1135 0.8865 0.2580
0.2777 0.7223 0.8583
0.4543 0.5457 0.2842
0.5457 0.4543 0.7842
0.7223 0.2777 0.3583
0.8865 0.1135 0.7580
0.0989 0.9011 0.8760
0.2043 0.7957 0.5807
0.2107 0.7893 0.1441
0.3825 0.6175 0.0072
0.4477 0.5523 0.6540
0.5523 0.4477 0.1540
0.6175 0.3825 0.5072
0.7893 0.2107 0.6441
0.7957 0.2043 0.0807
0.9011 0.0989 0.3760
```

## Properties
- N(E_F): 7.224 states/eV per cell

No. 2
A relaxed Sm2MgSi3Pd4 crystal. Source: Alexandria, functional GGA-PBE.

```
Sm2MgSi3Pd4
1.0
4.2459 0.0000 0.0000
0.0000 4.2459 0.0000
0.0000 0.0000 10.2025
Sm Mg Si Pd
2 1 3 4
direct
0.0000 0.5000 0.2424
0.5000 0.0000 0.7576
0.0000 0.0000 0.5000
0.0000 0.5000 0.8728
0.5000 0.0000 0.1272
0.5000 0.5000 0.5000
0.0000 0.0000 0.0000
0.0000 0.5000 0.6387
0.5000 0.0000 0.3613
0.5000 0.5000 0.0000
```

## Properties
- N(E_F): 4.930 states/eV per cell

No. 3
A relaxed SmMgSi2Pd5 crystal. Source: Alexandria, functional GGA-PBE.

```
SmMgSi2Pd5
1.0
4.1776 0.0000 0.0000
0.0000 4.1776 0.0000
0.0000 0.0000 8.8846
Sm Mg Si Pd
1 1 2 5
direct
0.0000 0.0000 0.0000
0.0000 0.0000 0.5000
0.5000 0.5000 0.3716
0.5000 0.5000 0.6284
0.0000 0.5000 0.2419
0.0000 0.5000 0.7581
0.5000 0.0000 0.2419
0.5000 0.0000 0.7581
0.5000 0.5000 0.0000
```

## Properties
- N(E_F): 2.677 states/eV per cell

No. 4
A relaxed SmMgSi2Pd2 crystal. Source: Alexandria, functional GGA-PBE.

```
SmMgSi2Pd2
1.0
4.2614 0.0000 0.0000
-2.1307 3.6905 0.0000
0.0000 0.0000 6.9178
Sm Mg Si Pd
1 1 2 2
direct
0.0000 0.0000 0.0000
0.0000 0.0000 0.5000
0.3333 0.6667 0.2774
0.6667 0.3333 0.7226
0.3333 0.6667 0.6752
0.6667 0.3333 0.3248
```

## Properties
- N(E_F): 2.924 states/eV per cell

No. 5
A relaxed SmMg2SiPd2 crystal. Source: Alexandria, functional GGA-PBE.

```
SmMg2SiPd2
1.0
-2.4819 2.4819 5.4595
2.4819 -2.4819 5.4595
2.4819 2.4819 -5.4595
Sm Mg Si Pd
1 2 1 2
direct
0.0000 0.0000 0.0000
0.2500 0.7500 0.5000
0.7500 0.2500 0.5000
0.5000 0.5000 0.0000
0.2925 0.2925 0.0000
0.7075 0.7075 0.0000
```

## Properties
- N(E_F): 3.639 states/eV per cell

No. 6
A relaxed SrMgSiPd3 crystal. Source: Alexandria, functional GGA-PBE.

```
SrMgSiPd3
1.0
2.9122 -7.6912 0.0000
2.9122 7.6912 0.0000
0.0000 0.0000 6.0855
Sr Mg Si Pd
2 2 2 6
direct
0.2271 0.7729 0.7500
0.7729 0.2271 0.2500
0.1068 0.8932 0.2500
0.8932 0.1068 0.7500
0.4295 0.5705 0.2500
0.5705 0.4295 0.7500
0.2475 0.2475 0.0000
0.2475 0.2475 0.5000
0.2777 0.7223 0.2500
0.7223 0.2777 0.7500
0.7525 0.7525 0.0000
0.7525 0.7525 0.5000
```

## Properties
- N(E_F): 2.532 states/eV per cell

No. 7
A relaxed SrMg2SiPd crystal. Source: Alexandria, functional GGA-PBE.

```
SrMg2SiPd
1.0
5.0288 0.0000 0.0000
0.0000 5.0288 0.0000
0.0000 0.0000 4.7694
Sr Mg Si Pd
1 2 1 1
direct
0.0000 0.0000 0.0000
0.0000 0.5000 0.5000
0.5000 0.0000 0.5000
0.5000 0.5000 0.0000
0.5000 0.5000 0.5000
```

## Properties
- N(E_F): 2.470 states/eV per cell

No. 8
A relaxed Sr2MgSi3Pd4 crystal. Source: Alexandria, functional GGA-PBE.

```
Sr2MgSi3Pd4
1.0
4.3815 0.0000 0.0000
0.0000 4.3815 0.0000
0.0000 0.0000 10.1680
Sr Mg Si Pd
2 1 3 4
direct
0.0000 0.5000 0.2449
0.5000 0.0000 0.7551
0.0000 0.0000 0.5000
0.0000 0.5000 0.8828
0.5000 0.0000 0.1172
0.5000 0.5000 0.5000
0.0000 0.0000 0.0000
0.0000 0.5000 0.6395
0.5000 0.0000 0.3605
0.5000 0.5000 0.0000
```

## Properties
- N(E_F): 5.057 states/eV per cell

| no. | formation energy without anion corrections (eV per formula unit) | size of the total moment (μB/cell) |
| --- | --- | --- |
| 1 | -6.3 | 0.000 |
| 2 | -8.6 | 0.000 |
| 3 | -6.5 | 0.000 |
| 4 | -4.7 | 0.000 |
| 5 | -2.0 | 0.000 |
| 6 | -3.0 | 0.000 |
| 7 | -1.4 | 0.000 |
| 8 | -7.2 | 0.000 |